No. 1
First-principles (PBE) data for crystalline Ac2SmDyS4 at its relaxed geometry, as listed in the Alexandria database.

Output
size of the total moment: 0.00 μB per formula unit
calculated volume: 24.92 Å³/atom
density of states at the Fermi level: 4.12 states/eV per cell
raw formation energy: -1994 meV/atom

Unit cell a=7.0497 b=4.0437 c=7.3713 alpha=90.00 beta=108.41 gamma=90.00
Closest atoms and distances in Å follow each position.
Space group P2/m (No. 10)
One atom of each set of equivalent atoms:
Ac 0.0000 0.0000 0.0000 (multiplicity 1)  6 S 3.06
Ac 0.5000 0.5000 0.0000 (multiplicity 1)  6 S 3.02
Sm 0.0000 0.5000 0.5000 (multiplicity 1)  6 S 2.83-2.84
Dy 0.5000 0.0000 0.5000 (multiplicity 1)  6 S 2.79
S 0.2461 0.0000 0.7244 (multiplicity 2)  1 Dy 2.79, 2 Sm 2.83, 3 Ac 3.02-3.06
S 0.2647 0.5000 0.2789 (multiplicity 2)  2 Dy 2.79, 1 Sm 2.84, 3 Ac 3.02-3.06

No. 2
First-principles (PBE) data for crystalline AcSmDyS3 at its relaxed geometry, as listed in the Alexandria database.

Output
size of the total moment: 0.58 μB per formula unit
calculated volume: 26.49 Å³/atom
density of states at the Fermi level: 5.30 states/eV per cell
raw formation energy: -1816 meV/atom

Unit cell a=7.8490 b=4.0526 c=10.2516 alpha=90.00 beta=102.92 gamma=90.00
Closest atoms and distances in Å follow each position.
Space group P2_1/m (No. 11)
One atom of each set of equivalent atoms:
Ac 0.1822 0.2500 0.2051 (multiplicity 2)  7 S 3.01-3.16
Sm 0.1837 0.2500 0.6225 (multiplicity 2)  5 S 2.81-2.98
Dy 0.3384 0.7500 0.9058 (multiplicity 2)  5 S 2.72-2.78
S 0.1030 0.2500 0.8892 (multiplicity 2)  2 Dy 2.72, 1 Sm 2.94, 2 Ac 3.01
S 0.1888 0.7500 0.4330 (multiplicity 2)  3 Sm 2.81-2.85, 2 Ac 3.08
S 0.4733 0.7500 0.1807 (multiplicity 2)  3 Dy 2.77-2.78, 1 Sm 2.98

No. 3
First-principles (PBE) data for crystalline AcSm2DyS4 at its relaxed geometry, as listed in the Alexandria database.

Output
size of the total moment: 0.00 μB per formula unit
calculated volume: 23.74 Å³/atom
density of states at the Fermi level: 4.77 states/eV per cell
raw formation energy: -1976 meV/atom

Unit cell a=7.0003 b=4.0144 c=7.1443 alpha=90.00 beta=108.89 gamma=90.00
Closest atoms and distances in Å follow each position.
Space group P2/m (No. 10)
One atom of each set of equivalent atoms:
Ac 0.0000 0.0000 0.0000 (multiplicity 1)  6 S 2.95-2.96
Sm 0.5000 0.0000 0.5000 (multiplicity 1)  6 S 2.79-2.80
Sm 0.5000 0.5000 0.0000 (multiplicity 1)  6 S 2.92-2.93
Dy 0.0000 0.5000 0.5000 (multiplicity 1)  6 S 2.83
S 0.2483 0.0000 0.7355 (multiplicity 2)  3 Sm 2.80-2.92, 2 Dy 2.83, 1 Ac 2.95
S 0.2596 0.5000 0.2679 (multiplicity 2)  3 Sm 2.79-2.93, 1 Dy 2.83, 2 Ac 2.96

No. 4
First-principles (PBE) data for crystalline AcSmDy4S8 at its relaxed geometry, as listed in the Alexandria database.

Output
size of the total moment: 0.00 μB per formula unit
calculated volume: 27.83 Å³/atom
density of states at the Fermi level: 25.79 states/eV per cell
raw formation energy: -1927 meV/atom

Unit cell a=8.1755 b=8.1755 c=20.1927 alpha=90.00 beta=90.00 gamma=120.00
Closest atoms and distances in Å follow each position.
Space group R3m (No. 160, hexagonal axes)
One atom of each set of equivalent atoms:
Ac 0.0000 0.0000 0.0000 (multiplicity 3)  4 S 2.81-2.82
Sm 0.0000 0.0000 0.6234 (multiplicity 3)  6 S 2.81-2.85
Dy 0.0000 0.0000 0.2515 (multiplicity 3)  4 S 2.62-2.65
Dy 0.0057 0.5029 0.1267 (multiplicity 9)  6 S 2.75-2.80
S 0.0000 0.0000 0.3827 (multiplicity 3)  4 Dy 2.65-2.80
S 0.0000 0.0000 0.8601 (multiplicity 3)  3 Dy 2.75, 1 Ac 2.82
S 0.0370 0.5185 0.3828 (multiplicity 9)  2 Dy 2.75, 1 Ac 2.81, 1 Sm 2.81
S 0.1726 0.3452 0.2048 (multiplicity 9)  3 Dy 2.62-2.79, 1 Sm 2.85

No. 5
First-principles (PBE) data for crystalline AcTbDy2S6 at its relaxed geometry, as listed in the Alexandria database.

Output
size of the total moment: 0.00 μB per formula unit
calculated volume: 27.03 Å³/atom
density of states at the Fermi level: 0.00 states/eV per cell
raw formation energy: -2077 meV/atom

Unit cell a=7.0904 b=7.0904 c=18.6236 alpha=90.00 beta=90.00 gamma=120.00
Closest atoms and distances in Å follow each position.
Space group R3 (No. 146, hexagonal axes)
One atom of each set of equivalent atoms:
Ac 0.0000 0.0000 0.0000 (multiplicity 3)  6 S 2.93-3.07
Tb 0.0000 0.0000 0.4866 (multiplicity 3)  6 S 2.77-2.80
Dy 0.0000 0.0000 0.2824 (multiplicity 3)  6 S 2.72-2.78
Dy 0.0000 0.0000 0.7892 (multiplicity 3)  6 S 2.70-2.78
S 0.0083 0.3096 0.8828 (multiplicity 9)  2 Dy 2.72-2.78, 1 Tb 2.77
S 0.0258 0.6216 0.0503 (multiplicity 9)  2 Dy 2.70-2.78, 1 Tb 2.80, 1 Ac 2.93

No. 6
First-principles (PBE) data for crystalline AcTb2DyS4 at its relaxed geometry, as listed in the Alexandria database.

Output
size of the total moment: 0.00 μB per formula unit
calculated volume: 23.03 Å³/atom
density of states at the Fermi level: 4.96 states/eV per cell
raw formation energy: -1963 meV/atom

Unit cell a=6.9666 b=3.9711 c=7.0385 alpha=90.00 beta=108.86 gamma=90.00
Closest atoms and distances in Å follow each position.
Space group P2/m (No. 10)
One atom of each set of equivalent atoms:
Ac 0.0000 0.0000 0.0000 (multiplicity 1)  6 S 2.95-2.96
Tb 0.5000 0.0000 0.5000 (multiplicity 1)  6 S 2.74-2.75
Tb 0.5000 0.5000 0.0000 (multiplicity 1)  6 S 2.86-2.87
Dy 0.0000 0.5000 0.5000 (multiplicity 1)  6 S 2.83-2.84
S 0.2569 0.0000 0.7392 (multiplicity 2)  3 Tb 2.75-2.86, 2 Dy 2.83, 1 Ac 2.95
S 0.2676 0.5000 0.2697 (multiplicity 2)  3 Tb 2.74-2.87, 1 Dy 2.84, 2 Ac 2.96

No. 7
First-principles (PBE) data for crystalline AcTb2DyS6 at its relaxed geometry, as listed in the Alexandria database.

Output
size of the total moment: 0.00 μB per formula unit
calculated volume: 27.19 Å³/atom
density of states at the Fermi level: 0.00 states/eV per cell
raw formation energy: -2074 meV/atom

Unit cell a=7.0998 b=7.0998 c=18.6839 alpha=90.00 beta=90.00 gamma=120.00
Closest atoms and distances in Å follow each position.
Space group R3 (No. 146, hexagonal axes)
One atom of each set of equivalent atoms:
Ac 0.0000 0.0000 0.0000 (multiplicity 3)  6 S 2.93-3.07
Tb 0.0000 0.0000 0.2825 (multiplicity 3)  6 S 2.74-2.79
Tb 0.0000 0.0000 0.7897 (multiplicity 3)  6 S 2.71-2.80
Dy 0.0000 0.0000 0.4864 (multiplicity 3)  6 S 2.76-2.79
S 0.0037 0.3082 0.8838 (multiplicity 9)  2 Tb 2.74-2.80, 1 Dy 2.76
S 0.0276 0.6246 0.0514 (multiplicity 9)  2 Tb 2.71-2.79, 1 Dy 2.79, 1 Ac 2.93

No. 8
First-principles (PBE) data for crystalline Ac2TbDyS4 at its relaxed geometry, as listed in the Alexandria database.

Output
size of the total moment: 0.00 μB per formula unit
calculated volume: 24.55 Å³/atom
density of states at the Fermi level: 3.49 states/eV per cell
raw formation energy: -1993 meV/atom

Unit cell a=6.9766 b=4.0079 c=7.3938 alpha=90.00 beta=108.21 gamma=90.00
Closest atoms and distances in Å follow each position.
Space group P2/m (No. 10)
One atom of each set of equivalent atoms:
Ac 0.0000 0.0000 0.0000 (multiplicity 1)  6 S 3.05
Ac 0.5000 0.5000 0.0000 (multiplicity 1)  6 S 3.04
Tb 0.0000 0.5000 0.5000 (multiplicity 1)  6 S 2.78-2.79
Dy 0.5000 0.0000 0.5000 (multiplicity 1)  6 S 2.77-2.78
S 0.2403 0.0000 0.7189 (multiplicity 2)  1 Dy 2.78, 2 Tb 2.78, 3 Ac 3.04-3.05
S 0.2621 0.5000 0.2818 (multiplicity 2)  2 Dy 2.77, 1 Tb 2.79, 3 Ac 3.04-3.05

No. 9
First-principles (PBE) data for crystalline Ac2TbDyS6 at its relaxed geometry, as listed in the Alexandria database.

Output
size of the total moment: 0.00 μB per formula unit
calculated volume: 28.37 Å³/atom
density of states at the Fermi level: 0.00 states/eV per cell
raw formation energy: -2111 meV/atom

Unit cell a=7.2750 b=7.2750 c=18.5695 alpha=90.00 beta=90.00 gamma=120.00
Closest atoms and distances in Å follow each position.
Space group R3 (No. 146, hexagonal axes)
One atom of each set of equivalent atoms:
Ac 0.0000 0.0000 0.0000 (multiplicity 3)  6 S 2.97-3.06
Ac 0.0000 0.0000 0.4999 (multiplicity 3)  6 S 2.97-3.05
Tb 0.0000 0.0000 0.2145 (multiplicity 3)  6 S 2.72-2.79
Dy 0.0000 0.0000 0.7143 (multiplicity 3)  6 S 2.71-2.77
S 0.0661 0.3553 0.2848 (multiplicity 9)  1 Tb 2.72, 1 Dy 2.77, 1 Ac 2.97
S 0.0655 0.7118 0.7845 (multiplicity 9)  1 Dy 2.71, 1 Tb 2.79, 1 Ac 2.97

No. 10
First-principles (PBE) data for crystalline AcTbDyS3 at its relaxed geometry, as listed in the Alexandria database.

Output
size of the total moment: 0.53 μB per formula unit
calculated volume: 25.97 Å³/atom
density of states at the Fermi level: 5.65 states/eV per cell
raw formation energy: -1812 meV/atom

Unit cell a=7.8379 b=4.0348 c=10.1389 alpha=90.00 beta=103.60 gamma=90.00
Closest atoms and distances in Å follow each position.
Space group P2_1/m (No. 11)
One atom of each set of equivalent atoms:
Ac 0.1853 0.2500 0.2077 (multiplicity 2)  7 S 3.00-3.16
Tb 0.1783 0.2500 0.6234 (multiplicity 2)  5 S 2.76-2.91
Dy 0.3368 0.7500 0.9067 (multiplicity 2)  5 S 2.71-2.79
S 0.1010 0.2500 0.8874 (multiplicity 2)  2 Dy 2.71, 1 Tb 2.88, 2 Ac 3.00
S 0.1895 0.7500 0.4402 (multiplicity 2)  3 Tb 2.76-2.80
S 0.4797 0.7500 0.1862 (multiplicity 2)  3 Dy 2.77-2.79, 1 Tb 2.91

No. 11
First-principles (PBE) data for crystalline AcTbDy4S8 at its relaxed geometry, as listed in the Alexandria database.

Output
size of the total moment: 0.00 μB per formula unit
calculated volume: 27.58 Å³/atom
density of states at the Fermi level: 25.76 states/eV per cell
raw formation energy: -1929 meV/atom

Unit cell a=8.1690 b=8.1690 c=20.0418 alpha=90.00 beta=90.00 gamma=120.00
Closest atoms and distances in Å follow each position.
Space group R3m (No. 160, hexagonal axes)
One atom of each set of equivalent atoms:
Ac 0.0000 0.0000 0.0000 (multiplicity 3)  4 S 2.81
Tb 0.0000 0.0000 0.3771 (multiplicity 3)  6 S 2.76-2.80
Dy 0.0000 0.0000 0.7497 (multiplicity 3)  4 S 2.62-2.63
Dy 0.1696 0.3391 0.2074 (multiplicity 9)  6 S 2.75-2.79
S 0.0000 0.0000 0.1403 (multiplicity 3)  3 Dy 2.75, 1 Ac 2.81
S 0.0000 0.0000 0.6184 (multiplicity 3)  4 Dy 2.63-2.79
S 0.0157 0.5079 0.1274 (multiplicity 9)  3 Dy 2.62-2.79, 1 Tb 2.80
S 0.1867 0.3734 0.9527 (multiplicity 9)  2 Dy 2.75, 1 Tb 2.76, 1 Ac 2.81

No. 12
First-principles (PBE) data for crystalline Ac2DyTe2S2 at its relaxed geometry, as listed in the Alexandria database.

Output
size of the total moment: 0.00 μB per formula unit
calculated volume: 31.37 Å³/atom
density of states at the Fermi level: 5.04 states/eV per cell
raw formation energy: -1713 meV/atom

Unit cell a=5.1097 b=5.1097 c=16.8190 alpha=90.00 beta=90.00 gamma=90.00
Closest atoms and distances in Å follow each position.
Space group I4/mmm (No. 139)
One atom of each set of equivalent atoms:
Ac 0.0000 0.0000 0.1213 (multiplicity 4)  4 S 3.27, 1 Te 3.32
Dy 0.0000 0.0000 0.5000 (multiplicity 2)  4 S 2.55
Te 0.0000 0.0000 0.3190 (multiplicity 4)  1 Dy 3.04, 1 Ac 3.32
S 0.0000 0.5000 0.0000 (multiplicity 4)  2 Dy 2.55